1.
Below is crystalline BeCrPd at its relaxed geometry, with properties calculated at the PBE-GGA level.

Unit cell a=5.9798 b=4.8971 c=2.7117 alpha=106.14 beta=103.10 gamma=73.21
Fractional coordinates of all 6 atoms:
Pd: 0.1389 0.0827 0.0326
Pd: 0.4981 0.3575 0.8490
Cr: 0.7744 0.8767 0.2464
Cr: 0.0906 0.6246 0.2790
Be: 0.8135 0.4232 0.5391
Be: 0.4548 0.8039 0.5500

Calculated values
Distance to the lowest polymorph of the same formula, eV per formula unit: 0.66
Total magnetization, μB/atom: 0.0000
E_form, meV/atom: -20

---

2.
Below is crystalline BeCrPd at its relaxed geometry, with properties calculated at the PBE-GGA level.

Unit cell a=2.8907 b=6.6550 c=3.7565 alpha=73.58 beta=90.00 gamma=90.05
Fractional coordinates of all 6 atoms:
Pd: 0.7405 0.2060 0.5504
Cr: 0.2394 0.8614 0.7220
Be: 0.2396 0.5527 0.3759
Cr: 0.7395 0.8614 0.2222
Be: 0.2410 0.1703 0.0686
Pd: 0.7388 0.5168 0.8942

Calculated values
Distance to the lowest polymorph of the same formula, eV per formula unit: 0.16
Total magnetization, μB/atom: 0.0000
E_form, meV/atom: -186

---

3.
Below is crystalline Be3CrPd at its relaxed geometry, with properties calculated at the PBE-GGA level.

Unit cell a=4.0725 b=4.0725 c=4.0725 alpha=90.00 beta=90.00 gamma=90.00
Fractional coordinates of all 5 atoms:
Be: 0.5000 0.0000 0.0000
Be: 0.0000 0.0000 0.5000
Cr: 0.5000 0.5000 0.5000
Pd: 0.0000 0.0000 0.0000
Be: 0.0000 0.5000 0.0000

Calculated values
Distance to the lowest polymorph of the same formula, eV per formula unit: 0.00
Total magnetization, μB/atom: 0.0122
E_form, meV/atom: 830

---

4.
Below is crystalline BeCrPd at its relaxed geometry, with properties calculated at the PBE-GGA level.

Unit cell a=3.2488 b=6.4115 c=3.3387 alpha=90.00 beta=90.00 gamma=89.99
Fractional coordinates of all 6 atoms:
Pd: 0.9624 0.2110 0.5274
Cr: 0.9625 0.8615 0.0274
Cr: 0.4625 0.8615 0.5274
Pd: 0.4629 0.5118 0.0275
Be: 0.4627 0.1492 0.0274
Be: 0.9632 0.5737 0.5275

Calculated values
Distance to the lowest polymorph of the same formula, eV per formula unit: 0.14
Total magnetization, μB/atom: 0.0000
E_form, meV/atom: -191

---

5.
Below is crystalline BeCrPd at its relaxed geometry, with properties calculated at the PBE-GGA level.

Unit cell a=4.1201 b=6.0029 c=3.0613 alpha=90.00 beta=90.00 gamma=110.10
Fractional coordinates of all 6 atoms:
Cr: 0.7262 0.8343 0.3327
Be: 0.0911 0.5636 0.3326
Be: 0.2220 0.8259 0.8326
Cr: 0.5867 0.5552 0.8327
Pd: 0.9389 0.2597 0.8327
Pd: 0.3740 0.1299 0.3328

Calculated values
Distance to the lowest polymorph of the same formula, eV per formula unit: 0.31
Total magnetization, μB/atom: 0.0000
E_form, meV/atom: -135

---

6.
Below is crystalline BeCrPd at its relaxed geometry, with properties calculated at the PBE-GGA level.

Unit cell a=3.5285 b=7.3705 c=2.7511 alpha=100.72 beta=90.00 gamma=91.08
Fractional coordinates of all 6 atoms:
Cr: 0.5492 0.9223 0.2528
Be: 0.0761 0.4515 0.5174
Pd: 0.0666 0.1687 0.8758
Cr: 0.0976 0.8006 0.6915
Be: 0.5698 0.2714 0.4271
Pd: 0.5796 0.5541 0.0687

Calculated values
Distance to the lowest polymorph of the same formula, eV per formula unit: 0.41
Total magnetization, μB/atom: 0.0000
E_form, meV/atom: -102

---

7.
Below is crystalline BeCrPd at its relaxed geometry, with properties calculated at the PBE-GGA level.

Unit cell a=5.0497 b=5.5192 c=2.8376 alpha=89.97 beta=106.34 gamma=107.77
Fractional coordinates of all 6 atoms:
Cr: 0.8015 0.0982 0.3476
Pd: 0.1947 0.9550 0.0446
Be: 0.5146 0.3030 0.7037
Be: 0.8755 0.6071 0.3840
Cr: 0.5877 0.8116 0.7418
Pd: 0.1946 0.4549 0.0445

Calculated values
Distance to the lowest polymorph of the same formula, eV per formula unit: 0.60
Total magnetization, μB/atom: 0.0000
E_form, meV/atom: -38

---

8.
Below is crystalline BeCrPd at its relaxed geometry, with properties calculated at the PBE-GGA level.

Unit cell a=3.5337 b=6.8686 c=3.0310 alpha=102.77 beta=90.02 gamma=75.10
Fractional coordinates of all 6 atoms:
Cr: 0.5732 0.8614 0.5556
Pd: 0.3969 0.2140 0.2320
Be: 0.2149 0.5775 0.4136
Be: 0.9311 0.1454 0.6975
Pd: 0.7496 0.5088 0.8790
Cr: 0.0732 0.8615 0.0556

Calculated values
Distance to the lowest polymorph of the same formula, eV per formula unit: 0.08
Total magnetization, μB/atom: 0.0000
E_form, meV/atom: -213

---

total magnetization of number 6 (BeCrPd)? 0.0000 μB/atom

---

Number 6 is which compound? BeCrPd